Entry 1:
## Sm3CuPt2 (GGA-PBE)

Data for a geometry-optimized Sm3CuPt2 structure.

Cell lengths 11.8198, 4.0555, 11.9814 Å; angles 90.00, 90.00, 90.00 degrees
Sites, in units of the cell vectors:
Sm1 0.0500 0.2500 0.1267
Sm2 0.1284 0.7500 0.5647
Sm3 0.2132 0.2500 0.8136
Sm4 0.2868 0.7500 0.3136
Sm5 0.3716 0.2500 0.0647
Sm6 0.4500 0.7500 0.6267
Sm7 0.5500 0.2500 0.3733
Sm8 0.6284 0.7500 0.9353
Sm9 0.7132 0.2500 0.6864
Sm10 0.7868 0.7500 0.1864
Sm11 0.8716 0.2500 0.4353
Sm12 0.9500 0.7500 0.8733
Cu1 0.1208 0.2500 0.3773
Cu2 0.3792 0.7500 0.8773
Cu3 0.6208 0.2500 0.1227
Cu4 0.8792 0.7500 0.6227
Pt1 0.0035 0.7500 0.3073
Pt2 0.1830 0.7500 0.9920
Pt3 0.3170 0.2500 0.4920
Pt4 0.4965 0.2500 0.8073
Pt5 0.5035 0.7500 0.1927
Pt6 0.6830 0.7500 0.5080
Pt7 0.8170 0.2500 0.0080
Pt8 0.9965 0.2500 0.6927

Values from the calculation:
Space group: Pnma, No. 62
Calculated formation energy (meV per atom): -855

Entry 2:
## YOsNO2 (GGA-PBE)

Data for a geometry-optimized YOsNO2 structure.

Cell lengths 4.0478, 4.0478, 3.7701 Å; angles 90.00, 90.00, 90.00 degrees
Sites, in units of the cell vectors:
Y1 0.0000 0.0000 0.0000
Os1 0.5000 0.5000 0.5000
N1 0.5000 0.5000 0.0000
O1 0.0000 0.5000 0.5000
O2 0.5000 0.0000 0.5000

Values from the calculation:
Formation energy (no corrections) (eV per atom): -1.11
Space group: P4/mmm, No. 123

Entry 3:
## CdPH (GGA-PBE)

Data for a geometry-optimized CdPH structure.

Cell lengths 4.4309, 4.4311, 7.4221 Å; angles 82.21, 82.15, 60.42 degrees
Sites, in units of the cell vectors:
Cd1 0.2110 0.2098 0.1865
Cd2 0.7890 0.7902 0.8135
P1 0.1278 0.1291 0.7812
P2 0.8722 0.8709 0.2188
H1 0.1834 0.1830 0.5873
H2 0.8166 0.8170 0.4127

Values from the calculation:
Total energy (Ry/atom): -0.2388
Space group: P-1, No. 2